Record 1
CsNaRhCl6 | PBE-GGA | optimized geometry

Unit cell a=6.886 b=11.959 c=7.472 alpha=90.00 beta=90.08 gamma=90.00
Space group C2 (No. 5)
Symmetry-distinct sites (fractional):
Cs (0.000, 0.000, 0.000) x2
Na (0.000, 0.334, 0.500) x2
Rh (0.000, 0.667, 0.500) x2
Cl (0.130, 0.526, 0.317) x4
Cl (0.146, 0.802, 0.317) x4
Cl (0.222, 0.172, 0.318) x4

- ΔE_f (raw) (eV/atom) = -1.11
- size of the total moment (μB/cell) = 2.2

Record 2
Tb5DyEr2Sc | PBE-GGA | optimized geometry

Unit cell a=5.518 b=19.881 c=10.347 alpha=90.00 beta=90.00 gamma=90.00
Space group Cmc2_1 (No. 36)
Symmetry-distinct sites (fractional):
Tb (0.000, 0.017, 0.000) x4
Tb (0.000, 0.123, 0.280) x4
Tb (0.000, 0.200, 0.965) x4
Tb (0.000, 0.224, 0.579) x4
Tb (0.000, 0.483, 0.275) x4
Dy (0.000, 0.091, 0.716) x4
Er (0.000, 0.386, 0.997) x4
Er (0.000, 0.388, 0.570) x4
Sc (0.000, 0.305, 0.274) x4

- ΔE_f (kcal/mol of atoms) = 3.83
- size of the total moment (μB/cell) = 0.0

> size of the total moment of number 2 (Tb5DyEr2Sc)?

0.0 μB/cell

> size of the total moment of number 2 (Tb5DyEr2Sc)?

0.0 μB/cell